Material: K2SrCr
Method: DFT, PBE
State: optimized geometry

Summary:
The density of states at the Fermi level comes out at 2.5 states/eV per cell. The value obtained for the size of the total moment is 5.0 μB/f.u. As for the theoretical density: 1.79 g/cm³. As for the energy of formation: 642 meV/atom.

Cell lengths 7.854, 7.854, 7.854 Å; angles 147.51, 128.35, 62.35 degrees
Last column: magnetic moment on the atom in μB.
Element x y z (fractional)
1 Cr 0.259 0.759 0.500  4.16
2 K 0.045 0.045 0.000  0.00
3 K 0.748 0.248 0.500  0.00
4 Sr 0.448 0.448 0.000  0.02

Material: Ba6Tl2IrO
Method: DFT, PBE
State: optimized geometry

Summary:
The density of states at the Fermi level comes out at 19.7 states/eV per cell. The value obtained for the size of the total moment is 0.0 μB/f.u. As for the theoretical density: 6.03 g/cm³. As for the uncorrected formation energy: -0.633 eV per atom.

Cell lengths 8.250, 8.248, 11.664 Å; angles 90.00, 90.00, 90.00 degrees
Element x y z (fractional)
1 Ba 0.500 0.250 0.259
2 Ba 0.500 0.250 0.741
3 Ba 0.000 0.750 0.241
4 Ba 0.000 0.750 0.759
5 Ba 0.259 0.009 0.500
6 Ba 0.741 0.009 0.500
7 Ba 0.259 0.490 0.500
8 Ba 0.741 0.490 0.500
9 Ba 0.759 0.510 0.000
10 Ba 0.241 0.510 0.000
11 Ba 0.241 0.991 0.000
12 Ba 0.759 0.991 0.000
13 Tl 0.500 0.750 0.249
14 Tl 0.000 0.250 0.749
15 Tl 0.500 0.750 0.751
16 Tl 0.000 0.250 0.251
17 Ir 0.000 0.750 0.500
18 Ir 0.500 0.250 0.000
19 O 0.500 0.250 0.500
20 O 0.000 0.750 0.000

Material: Ba2NaCdS
Method: DFT, PBE
State: optimized geometry

Summary:
The density of states at the Fermi level comes out at 4.8 states/eV per cell. The value obtained for the size of the total moment is 0.0 μB/f.u. As for the theoretical density: 3.66 g/cm³. As for the uncorrected formation energy: -0.759 eV per atom.

Cell lengths 6.189, 6.189, 5.234 Å; angles 90.00, 90.00, 90.00 degrees
Element x y z (fractional)
1 Na 0.000 0.000 0.500
2 S 0.000 0.000 0.000
3 Ba 0.000 0.500 0.000
4 Ba 0.500 0.000 0.000
5 Cd 0.500 0.500 0.500

Material: BaGa6Cu4
Method: DFT, PBE
State: optimized geometry

Summary:
The density of states at the Fermi level comes out at 3.8 states/eV per cell. The value obtained for the size of the total moment is 0.0 μB/f.u. As for the theoretical density: 6.99 g/cm³. As for the energy of formation: -211 meV/atom.

Cell lengths 4.259, 7.221, 7.221 Å; angles 120.00, 90.00, 90.00 degrees
Element x y z (fractional)
1 Ba 0.000 0.000 0.000
2 Ga 0.000 0.537 0.074
3 Ga 0.500 0.592 0.796
4 Ga 0.000 0.537 0.463
5 Ga 0.000 0.926 0.463
6 Ga 0.500 0.204 0.796
7 Ga 0.500 0.204 0.408
8 Cu 0.500 0.786 0.572
9 Cu 0.500 0.428 0.214
10 Cu 0.500 0.786 0.214
11 Cu 0.000 0.333 0.667

- The highest size of the total moment belongs to which entry?
  K2SrCr

What did the second record say?
Material: Ba6Tl2IrO
Method: DFT, PBE
State: optimized geometry

Summary:
The density of states at the Fermi level comes out at 19.7 states/eV per cell. The value obtained for the size of the total moment is 0.0 μB/f.u. As for the theoretical density: 6.03 g/cm³. As for the uncorrected formation energy: -0.633 eV per atom.

Cell lengths 8.250, 8.248, 11.664 Å; angles 90.00, 90.00, 90.00 degrees
Element x y z (fractional)
1 Ba 0.500 0.250 0.259
2 Ba 0.500 0.250 0.741
3 Ba 0.000 0.750 0.241
4 Ba 0.000 0.750 0.759
5 Ba 0.259 0.009 0.500
6 Ba 0.741 0.009 0.500
7 Ba 0.259 0.490 0.500
8 Ba 0.741 0.490 0.500
9 Ba 0.759 0.510 0.000
10 Ba 0.241 0.510 0.000
11 Ba 0.241 0.991 0.000
12 Ba 0.759 0.991 0.000
13 Tl 0.500 0.750 0.249
14 Tl 0.000 0.250 0.749
15 Tl 0.500 0.750 0.751
16 Tl 0.000 0.250 0.251
17 Ir 0.000 0.750 0.500
18 Ir 0.500 0.250 0.000
19 O 0.500 0.250 0.500
20 O 0.000 0.750 0.000